VASP calculation (GGA-PBE) on a geometry-optimized LiScTl2 structure.

a b c (Å): 6.3254 6.3254 6.3254
angles (deg): 105.11 105.11 118.59
Fractional positions:
Li (0.0000, 0.0000, 0.0000)
Li (0.7500, 0.2500, 0.5000)
Sc (0.2500, 0.7500, 0.5000)
Sc (0.5000, 0.5000, 0.0000)
Tl (0.0956, 0.6250, 0.9706)
Tl (0.3750, 0.3456, 0.4706)
Tl (0.6544, 0.1250, 0.0294)
Tl (0.8750, 0.9044, 0.5294)

Summary:
ΔE_f ... -0.10 eV per formula unit
DOS(E_F) ... 7.22 states/eV/cell
V ... 23.88 A^3/atom
Space-group type ... No. 122
VASP energy ... -3.269 eV per atom
Excess energy over the best structure of this formula in the dataset ... 1.014 eV/f.u.

---

VASP calculation (GGA-PBE) on a geometry-optimized LiScTl2 structure.

a b c (Å): 5.7856 5.7856 5.7856
angles (deg): 135.84 135.84 64.23
Fractional positions:
Li (0.0000, 0.0000, 0.0000)
Sc (0.2500, 0.7500, 0.5000)
Tl (0.5000, 0.5000, 0.0000)
Tl (0.7500, 0.2500, 0.5000)

Summary:
ΔE_f ... -0.48 eV per formula unit
DOS(E_F) ... 2.59 states/eV/cell
V ... 23.18 A^3/atom
Space-group type ... No. 119
VASP energy ... -3.365 eV per atom
Excess energy over the best structure of this formula in the dataset ... 0.629 eV/f.u.

---

VASP calculation (GGA-PBE) on a geometry-optimized Li2ScTl2 structure.

a b c (Å): 7.5183 7.5183 7.5183
angles (deg): 149.71 149.71 43.37
Fractional positions:
Li (0.2500, 0.7500, 0.5000)
Li (0.7500, 0.2500, 0.5000)
Sc (0.0000, 0.0000, 0.0000)
Tl (0.3912, 0.3912, 0.0000)
Tl (0.6088, 0.6088, 0.0000)

Summary:
ΔE_f ... -0.77 eV per formula unit
DOS(E_F) ... 2.40 states/eV/cell
V ... 21.56 A^3/atom
Space-group type ... No. 139
VASP energy ... -3.132 eV per atom
Excess energy over the best structure of this formula in the dataset ... 0.110 eV/f.u.

---

VASP calculation (GGA-PBE) on a geometry-optimized LiScTl structure.

a b c (Å): 6.4286 4.7433 8.2109
angles (deg): 90.00 90.00 90.00
Fractional positions:
Li (0.2493, 0.2500, 0.0831)
Li (0.2507, 0.7500, 0.5831)
Li (0.7493, 0.2500, 0.4169)
Li (0.7507, 0.7500, 0.9169)
Sc (0.0001, 0.2500, 0.7497)
Sc (0.9999, 0.7500, 0.2503)
Sc (0.5001, 0.2500, 0.7503)
Sc (0.4999, 0.7500, 0.2497)
Tl (0.2499, 0.2500, 0.4168)
Tl (0.2501, 0.7500, 0.9168)
Tl (0.7499, 0.2500, 0.0832)
Tl (0.7501, 0.7500, 0.5832)

Summary:
ΔE_f ... -0.72 eV per formula unit
DOS(E_F) ... 9.91 states/eV/cell
V ... 20.86 A^3/atom
Space-group type ... No. 62
VASP energy ... -3.777 eV per atom
Excess energy over the best structure of this formula in the dataset ... 0.000 eV/f.u.

---

VASP calculation (GGA-PBE) on a geometry-optimized Li2ScTl3 structure.

a b c (Å): 4.9728 4.9728 12.2831
angles (deg): 90.00 90.00 120.00
Fractional positions:
Li (0.0000, 0.0000, 0.0000)
Li (0.0000, 0.0000, 0.5000)
Li (0.3333, 0.6667, 0.1690)
Li (0.6667, 0.3333, 0.8310)
Sc (0.3333, 0.6667, 0.6663)
Sc (0.6667, 0.3333, 0.3337)
Tl (0.0000, 0.0000, 0.2427)
Tl (0.0000, 0.0000, 0.7573)
Tl (0.3333, 0.6667, 0.4162)
Tl (0.3333, 0.6667, 0.9221)
Tl (0.6667, 0.3333, 0.0779)
Tl (0.6667, 0.3333, 0.5838)

Summary:
ΔE_f ... -1.46 eV per formula unit
DOS(E_F) ... 6.37 states/eV/cell
V ... 21.92 A^3/atom
Space-group type ... No. 164
VASP energy ... -3.120 eV per atom
Excess energy over the best structure of this formula in the dataset ... 0.000 eV/f.u.

---

VASP calculation (GGA-PBE) on a geometry-optimized Li3ScTl2 structure.

a b c (Å): 7.6451 7.6451 8.7192
angles (deg): 121.72 121.72 35.26
Fractional positions:
Li (0.0565, 0.0565, 0.4117)
Li (0.2492, 0.2492, 0.4069)
Li (0.3910, 0.3910, 0.2716)
Li (0.6090, 0.6090, 0.7284)
Li (0.7508, 0.7508, 0.5931)
Li (0.9435, 0.9435, 0.5883)
Sc (0.1131, 0.1131, 0.9951)
Sc (0.8869, 0.8869, 0.0049)
Tl (0.2263, 0.2263, 0.7922)
Tl (0.4374, 0.4374, 0.7850)
Tl (0.5626, 0.5626, 0.2150)
Tl (0.7737, 0.7737, 0.2078)

Summary:
ΔE_f ... -1.19 eV per formula unit
DOS(E_F) ... 6.14 states/eV/cell
V ... 20.45 A^3/atom
Space-group type ... No. 12
VASP energy ... -3.000 eV per atom

---

VASP calculation (GGA-PBE) on a geometry-optimized LiScTl2 structure.

a b c (Å): 4.9796 4.9796 6.1091
angles (deg): 99.47 99.47 39.40
Fractional positions:
Li (0.0000, 0.0000, 0.0000)
Sc (0.5000, 0.5000, 0.5000)
Tl (0.2553, 0.2553, 0.7626)
Tl (0.7447, 0.7447, 0.2374)

Summary:
ΔE_f ... -0.48 eV per formula unit
DOS(E_F) ... 2.80 states/eV/cell
V ... 23.67 A^3/atom
Space-group type ... No. 12
VASP energy ... -3.364 eV per atom
Excess energy over the best structure of this formula in the dataset ... 0.635 eV/f.u.

---

VASP calculation (GGA-PBE) on a geometry-optimized Li2ScTl2 structure.

a b c (Å): 8.0092 8.0092 3.1732
angles (deg): 90.00 90.00 90.00
Fractional positions:
Li (0.1168, 0.3832, 0.0000)
Li (0.3832, 0.8832, 0.0000)
Li (0.6168, 0.1168, 0.0000)
Li (0.8832, 0.6168, 0.0000)
Sc (0.0000, 0.0000, 0.0000)
Sc (0.5000, 0.5000, 0.0000)
Tl (0.1825, 0.6825, 0.5000)
Tl (0.3175, 0.1825, 0.5000)
Tl (0.6825, 0.8175, 0.5000)
Tl (0.8175, 0.3175, 0.5000)

Summary:
ΔE_f ... -0.88 eV per formula unit
DOS(E_F) ... 6.08 states/eV/cell
V ... 20.36 A^3/atom
Space-group type ... No. 127
VASP energy ... -3.154 eV per atom
Excess energy over the best structure of this formula in the dataset ... 0.000 eV/f.u.

---

VASP calculation (GGA-PBE) on a geometry-optimized Li2Sc2Tl structure.

a b c (Å): 9.6857 9.6857 9.6857
angles (deg): 159.57 159.57 29.04
Fractional positions:
Li (0.2500, 0.7500, 0.5000)
Li (0.7500, 0.2500, 0.5000)
Sc (0.1048, 0.1048, 0.0000)
Sc (0.8952, 0.8952, 0.0000)
Tl (0.5000, 0.5000, 0.0000)

Summary:
ΔE_f ... 0.64 eV per formula unit
DOS(E_F) ... 5.32 states/eV/cell
V ... 22.12 A^3/atom
Space-group type ... No. 139
VASP energy ... -3.644 eV per atom
Excess energy over the best structure of this formula in the dataset ... 0.680 eV/f.u.

---

VASP calculation (GGA-PBE) on a geometry-optimized Li2ScTl structure.

a b c (Å): 3.6018 3.6018 6.3352
angles (deg): 90.00 90.00 90.00
Fractional positions:
Li (0.0000, 0.0000, 0.2293)
Li (0.0000, 0.0000, 0.7707)
Sc (0.5000, 0.5000, 0.5000)
Tl (0.5000, 0.5000, 0.0000)

Summary:
ΔE_f ... -0.22 eV per formula unit
DOS(E_F) ... 2.44 states/eV/cell
V ... 20.55 A^3/atom
Space-group type ... No. 123
VASP energy ... -3.185 eV per atom

---

VASP calculation (GGA-PBE) on a geometry-optimized Li4ScTl5 structure.

a b c (Å): 3.5084 3.5084 17.4722
angles (deg): 90.00 90.00 90.00
Fractional positions:
Li (0.0000, 0.0000, 0.1006)
Li (0.0000, 0.0000, 0.2959)
Li (0.0000, 0.0000, 0.7041)
Li (0.0000, 0.0000, 0.8994)
Sc (0.0000, 0.0000, 0.5000)
Tl (0.5000, 0.5000, 0.0000)
Tl (0.5000, 0.5000, 0.1987)
Tl (0.5000, 0.5000, 0.3894)
Tl (0.5000, 0.5000, 0.6106)
Tl (0.5000, 0.5000, 0.8013)

Summary:
ΔE_f ... -2.27 eV per formula unit
DOS(E_F) ... 4.90 states/eV/cell
V ... 21.51 A^3/atom
Space-group type ... No. 123
VASP energy ... -2.809 eV per atom

---

VASP calculation (GGA-PBE) on a geometry-optimized Li5ScTl4 structure.

a b c (Å): 7.5803 7.5803 6.2374
angles (deg): 104.81 104.81 36.87
Fractional positions:
Li (0.0000, 0.0000, 0.0000)
Li (0.2078, 0.2078, 0.3237)
Li (0.3949, 0.3949, 0.1319)
Li (0.6051, 0.6051, 0.8681)
Li (0.7922, 0.7922, 0.6763)
Sc (0.0000, 0.0000, 0.5000)
Tl (0.1999, 0.1999, 0.8157)
Tl (0.4053, 0.4053, 0.6656)
Tl (0.5947, 0.5947, 0.3344)
Tl (0.8001, 0.8001, 0.1843)

Summary:
ΔE_f ... -2.25 eV per formula unit
DOS(E_F) ... 5.52 states/eV/cell
V ... 20.71 A^3/atom
Space-group type ... No. 12
VASP energy ... -2.761 eV per atom

---

VASP calculation (GGA-PBE) on a geometry-optimized Li3ScTl3 structure.

a b c (Å): 6.9314 6.9314 6.5475
angles (deg): 90.00 90.00 92.25
Fractional positions:
Li (0.1779, 0.8221, 0.0000)
Li (0.2520, 0.7480, 0.5000)
Li (0.2532, 0.2532, 0.0000)
Li (0.7468, 0.7468, 0.0000)
Li (0.7480, 0.2520, 0.5000)
Li (0.8221, 0.1779, 0.0000)
Sc (0.2104, 0.2104, 0.5000)
Sc (0.7896, 0.7896, 0.5000)
Tl (0.0000, 0.5000, 0.2419)
Tl (0.0000, 0.5000, 0.7581)
Tl (0.5000, 0.0000, 0.2419)
Tl (0.5000, 0.0000, 0.7581)
Tl (0.5000, 0.5000, 0.2511)
Tl (0.5000, 0.5000, 0.7489)

Summary:
ΔE_f ... -0.93 eV per formula unit
DOS(E_F) ... 9.65 states/eV/cell
V ... 22.45 A^3/atom
Space-group type ... No. 65
VASP energy ... -2.872 eV per atom
Excess energy over the best structure of this formula in the dataset ... 0.000 eV/f.u.

---

VASP calculation (GGA-PBE) on a geometry-optimized Li2ScTl structure.

a b c (Å): 3.2627 5.0800 5.2282
angles (deg): 90.00 93.41 90.00
Fractional positions:
Li (0.1851, 0.0000, 0.2576)
Li (0.8149, 0.0000, 0.7424)
Sc (0.5000, 0.5000, 0.0000)
Tl (0.0000, 0.5000, 0.5000)

Summary:
ΔE_f ... -0.38 eV per formula unit
DOS(E_F) ... 2.42 states/eV/cell
V ... 21.63 A^3/atom
Space-group type ... No. 10
VASP energy ... -3.225 eV per atom

---

VASP calculation (GGA-PBE) on a geometry-optimized LiScTl2 structure.

a b c (Å): 3.8663 3.8663 6.3740
angles (deg): 90.00 90.00 90.65
Fractional positions:
Li (0.0000, 0.0000, 0.0000)
Sc (0.5000, 0.5000, 0.7240)
Tl (0.0000, 0.0000, 0.5099)
Tl (0.5000, 0.5000, 0.1991)

Summary:
ΔE_f ... -0.23 eV per formula unit
DOS(E_F) ... 4.45 states/eV/cell
V ... 23.82 A^3/atom
Space-group type ... No. 35
VASP energy ... -3.302 eV per atom
Excess energy over the best structure of this formula in the dataset ... 0.883 eV/f.u.

---

VASP calculation (GGA-PBE) on a geometry-optimized Li2ScTl4 structure.

a b c (Å): 6.0496 6.0496 6.0496
angles (deg): 110.14 110.14 108.14
Fractional positions:
Li (0.0000, 0.5000, 0.5000)
Li (0.5000, 0.0000, 0.5000)
Sc (0.0000, 0.0000, 0.0000)
Tl (0.0000, 0.0000, 0.5000)
Tl (0.0000, 0.5000, 0.0000)
Tl (0.5000, 0.0000, 0.0000)
Tl (0.5000, 0.5000, 0.5000)

Summary:
ΔE_f ... -1.24 eV per formula unit
DOS(E_F) ... 3.29 states/eV/cell
V ... 24.34 A^3/atom
Space-group type ... No. 139
VASP energy ... -2.980 eV per atom

---

VASP calculation (GGA-PBE) on a geometry-optimized LiScTl2 structure.

a b c (Å): 5.1102 5.1102 5.1102
angles (deg): 60.00 60.00 60.00
Fractional positions:
Li (0.0000, 0.0000, 0.0000)
Sc (0.2500, 0.2500, 0.2500)
Tl (0.5000, 0.5000, 0.5000)
Tl (0.7500, 0.7500, 0.7500)

Summary:
ΔE_f ... 0.05 eV per formula unit
DOS(E_F) ... 2.51 states/eV/cell
V ... 23.59 A^3/atom
Space-group type ... No. 216
VASP energy ... -3.232 eV per atom
Excess energy over the best structure of this formula in the dataset ... 1.162 eV/f.u.

---

VASP calculation (GGA-PBE) on a geometry-optimized Li2ScTl2 structure.

a b c (Å): 8.0592 8.0592 3.3620
angles (deg): 90.00 90.00 90.00
Fractional positions:
Li (0.1572, 0.3428, 0.0000)
Li (0.3428, 0.8428, 0.0000)
Li (0.6572, 0.1572, 0.0000)
Li (0.8428, 0.6572, 0.0000)
Sc (0.0000, 0.0000, 0.5000)
Sc (0.5000, 0.5000, 0.5000)
Tl (0.1430, 0.6430, 0.5000)
Tl (0.3570, 0.1430, 0.5000)
Tl (0.6430, 0.8570, 0.5000)
Tl (0.8570, 0.3570, 0.5000)

Summary:
ΔE_f ... -0.66 eV per formula unit
DOS(E_F) ... 4.54 states/eV/cell
V ... 21.84 A^3/atom
Space-group type ... No. 127
VASP energy ... -3.111 eV per atom
Excess energy over the best structure of this formula in the dataset ... 0.219 eV/f.u.

---

VASP calculation (GGA-PBE) on a geometry-optimized Li3ScTl4 structure.

a b c (Å): 3.4948 3.4948 14.1948
angles (deg): 90.00 90.00 90.00
Fractional positions:
Li (0.0000, 0.0000, 0.0000)
Li (0.0000, 0.0000, 0.2463)
Li (0.0000, 0.0000, 0.7537)
Sc (0.0000, 0.0000, 0.5000)
Tl (0.5000, 0.5000, 0.1232)
Tl (0.5000, 0.5000, 0.3647)
Tl (0.5000, 0.5000, 0.6353)
Tl (0.5000, 0.5000, 0.8768)

Summary:
ΔE_f ... -1.84 eV per formula unit
DOS(E_F) ... 3.50 states/eV/cell
V ... 21.67 A^3/atom
Space-group type ... No. 123
VASP energy ... -2.922 eV per atom

---

VASP calculation (GGA-PBE) on a geometry-optimized Li3Sc2Tl4 structure.

a b c (Å): 4.8872 4.8872 9.7190
angles (deg): 90.20 90.20 59.91
Fractional positions:
Li (0.0000, 0.0000, 0.0000)
Li (0.3338, 0.3338, 0.4378)
Li (0.6662, 0.6662, 0.5622)
Sc (0.3328, 0.3328, 0.7878)
Sc (0.6672, 0.6672, 0.2122)
Tl (0.0010, 0.0010, 0.3401)
Tl (0.3336, 0.3336, 0.1079)
Tl (0.6664, 0.6664, 0.8921)
Tl (0.9990, 0.9990, 0.6599)

Summary:
ΔE_f ... -1.84 eV per formula unit
DOS(E_F) ... 4.96 states/eV/cell
V ... 22.32 A^3/atom
Space-group type ... No. 12
VASP energy ... -3.302 eV per atom
Excess energy over the best structure of this formula in the dataset ... 0.000 eV/f.u.

---

VASP calculation (GGA-PBE) on a geometry-optimized LiScTl structure.

a b c (Å): 4.8049 4.8049 4.8049
angles (deg): 60.00 60.00 60.00
Fractional positions:
Li (0.0000, 0.0000, 0.0000)
Sc (0.7500, 0.7500, 0.7500)
Tl (0.5000, 0.5000, 0.5000)

Summary:
ΔE_f ... 0.88 eV per formula unit
DOS(E_F) ... 4.92 states/eV/cell
V ... 26.15 A^3/atom
Space-group type ... No. 216
VASP energy ... -3.245 eV per atom
Excess energy over the best structure of this formula in the dataset ... 1.594 eV/f.u.

---

VASP calculation (GGA-PBE) on a geometry-optimized Li5ScTl6 structure.

a b c (Å): 7.7202 7.7202 7.2486
angles (deg): 90.00 90.00 143.55
Fractional positions:
Li (0.0000, 0.0000, 0.0000)
Li (0.3266, 0.6734, 0.0000)
Li (0.3370, 0.6630, 0.5000)
Li (0.6630, 0.3370, 0.5000)
Li (0.6734, 0.3266, 0.0000)
Sc (0.0000, 0.0000, 0.5000)
Tl (0.1691, 0.8309, 0.2514)
Tl (0.1691, 0.8309, 0.7486)
Tl (0.5000, 0.5000, 0.2301)
Tl (0.5000, 0.5000, 0.7699)
Tl (0.8309, 0.1691, 0.2514)
Tl (0.8309, 0.1691, 0.7486)

Summary:
ΔE_f ... -2.80 eV per formula unit
DOS(E_F) ... 3.86 states/eV/cell
V ... 21.39 A^3/atom
Space-group type ... No. 65
VASP energy ... -2.741 eV per atom

---

VASP calculation (GGA-PBE) on a geometry-optimized LiSc4Tl3 structure.

a b c (Å): 8.0904 8.0904 8.0904
angles (deg): 144.15 144.15 51.60
Fractional positions:
Li (0.0000, 0.0000, 0.0000)
Sc (0.1236, 0.6236, 0.5000)
Sc (0.3764, 0.8764, 0.5000)
Sc (0.6236, 0.1236, 0.5000)
Sc (0.8764, 0.3764, 0.5000)
Tl (0.2440, 0.2440, 0.0000)
Tl (0.5000, 0.5000, 0.0000)
Tl (0.7560, 0.7560, 0.0000)

Summary:
ΔE_f ... -1.83 eV per formula unit
DOS(E_F) ... 7.81 states/eV/cell
V ... 22.58 A^3/atom
Space-group type ... No. 139
VASP energy ... -4.521 eV per atom

---

VASP calculation (GGA-PBE) on a geometry-optimized Li4ScTl structure.

a b c (Å): 5.3656 5.3656 5.3656
angles (deg): 60.00 60.00 60.00
Fractional positions:
Li (0.1252, 0.1252, 0.1252)
Li (0.1252, 0.1252, 0.6245)
Li (0.1252, 0.6245, 0.1252)
Li (0.6245, 0.1252, 0.1252)
Sc (0.7500, 0.7500, 0.7500)
Tl (0.5000, 0.5000, 0.5000)

Summary:
ΔE_f ... -0.34 eV per formula unit
DOS(E_F) ... 1.34 states/eV/cell
V ... 18.20 A^3/atom
Space-group type ... No. 216
VASP energy ... -2.782 eV per atom

---

VASP calculation (GGA-PBE) on a geometry-optimized Li2Sc2Tl structure.

a b c (Å): 8.0547 8.0547 3.4866
angles (deg): 90.00 90.00 90.00
Fractional positions:
Li (0.1557, 0.3443, 0.0000)
Li (0.3443, 0.8443, 0.0000)
Li (0.6557, 0.1557, 0.0000)
Li (0.8443, 0.6557, 0.0000)
Sc (0.1407, 0.6407, 0.5000)
Sc (0.3593, 0.1407, 0.5000)
Sc (0.6407, 0.8593, 0.5000)
Sc (0.8593, 0.3593, 0.5000)
Tl (0.0000, 0.0000, 0.5000)
Tl (0.5000, 0.5000, 0.5000)

Summary:
ΔE_f ... 0.95 eV per formula unit
DOS(E_F) ... 11.63 states/eV/cell
V ... 22.62 A^3/atom
Space-group type ... No. 127
VASP energy ... -3.582 eV per atom
Excess energy over the best structure of this formula in the dataset ... 0.993 eV/f.u.